UPaS after structural relaxation, computed with PBE.

Computed properties:
Final energy (eV per atom): -8.78
Space group: P3m1 (156)
Formation energy without anion corrections (eV/atom): -0.479
Energy above the most stable polymorph in this dataset (kJ per mole of atoms): 13.8

Cell: 3.486 3.486 6.618 Å, 90.00 90.00 120.00°
Sites, in units of the cell vectors:
U  0.667  0.333  0.390
S  0.333  0.667  0.663
Pa  0.000  0.000  0.947